This record from Alexandria via LeMat-Bulk describes an optimized crystal structure of Fe2BrCl. The functional is PBE.

Cell: 3.3273 3.3273 7.2739 Å, 90.00 90.00 90.12°
Each line ends with the local moment (μB).
Element x y z (fractional)
Fe 0.0000 0.0000 0.0548  2.91
Fe 0.5000 0.5000 0.1847  2.86
Br 0.0000 0.0000 0.3967  0.08
Cl 0.5000 0.5000 0.8638  0.06

Properties
- DOS(E_F): 0.7 states/eV/f.u.
- Space-group type: No. 35
- Crystal system: orthorhombic

=====

This record from Alexandria via LeMat-Bulk describes an optimized crystal structure of FeBr2Cl. The functional is PBE.

Cell: 7.7547 7.7547 7.7547 Å, 26.70 26.70 26.70°
Each line ends with the local moment (μB).
Element x y z (fractional)
Fe 0.7500 0.7500 0.7500  0.99
Br 0.0238 0.0238 0.0238  -0.03
Br 0.4762 0.4762 0.4762  -0.03
Cl 0.2500 0.2500 0.2500  -0.11

Properties
- DOS(E_F): 6.1 states/eV/f.u.
- Space-group type: No. 166
- Crystal system: trigonal

=====

This record from Alexandria via LeMat-Bulk describes an optimized crystal structure of Fe2BrCl4. The functional is PBE.

Cell: 7.3608 7.3607 8.8383 Å, 101.86 101.86 120.42°
Each line ends with the local moment (μB).
Element x y z (fractional)
Fe 0.6033 0.8693 0.3396  3.68
Fe 0.5298 0.2637 0.6604  3.68
Fe 0.1193 0.3533 0.8396  3.68
Fe 0.5137 0.2798 0.1604  3.68
Br 0.3568 0.8568 0.5000  0.23
Br 0.1068 0.1068 0.0000  0.23
Cl 0.9121 0.4814 0.7138  0.21
Cl 0.5698 0.1680 0.9072  0.19
Cl 0.7676 0.1982 0.2862  0.21
Cl 0.4180 0.3198 0.4072  0.19
Cl 0.9126 0.0108 0.5928  0.19
Cl 0.2608 0.6626 0.0928  0.19
Cl 0.7314 0.6621 0.2138  0.21
Cl 0.4482 0.5175 0.7862  0.21

Properties
- DOS(E_F): 6.4 states/eV/f.u.
- Space-group type: No. 43
- Crystal system: orthorhombic

=====

This record from Alexandria via LeMat-Bulk describes an optimized crystal structure of FeBr2Cl. The functional is PBE.

Cell: 7.3262 7.3262 5.4304 Å, 68.23 68.23 26.33°
Each line ends with the local moment (μB).
Element x y z (fractional)
Fe 0.2500 0.2500 0.2500  3.59
Br 0.8905 0.8905 0.1095  0.22
Br 0.6095 0.6095 0.3905  0.22
Cl 0.7500 0.7500 0.7500  0.33

Properties
- DOS(E_F): 3.0 states/eV/f.u.
- Space-group type: No. 71
- Crystal system: orthorhombic

=====

This record from Alexandria via LeMat-Bulk describes an optimized crystal structure of FeBr3Cl. The functional is PBE.

Cell: 5.3217 5.3217 5.3217 Å, 90.00 90.00 90.00°
Each line ends with the local moment (μB).
Element x y z (fractional)
Fe 0.5000 0.5000 0.5000  3.32
Br 0.0000 0.5000 0.0000  -0.01
Br 0.0000 0.0000 0.5000  -0.01
Br 0.5000 0.0000 0.0000  -0.01
Cl 0.0000 0.0000 0.0000  -0.03

Properties
- DOS(E_F): 10.1 states/eV/f.u.
- Space-group type: No. 221
- Crystal system: cubic

=====

This record from Alexandria via LeMat-Bulk describes an optimized crystal structure of Fe2BrCl. The functional is PBE.

Cell: 4.4059 4.4059 6.5364 Å, 85.25 85.25 45.28°
Each line ends with the local moment (μB).
Element x y z (fractional)
Fe 0.0335 0.0335 0.9142  2.78
Fe 0.7408 0.7408 0.8380  2.87
Br 0.4781 0.4781 0.6294  0.10
Cl 0.2476 0.2476 0.1184  0.09

Properties
- DOS(E_F): 0.5 states/eV/f.u.
- Space-group type: No. 8
- Crystal system: monoclinic

=====

This record from Alexandria via LeMat-Bulk describes an optimized crystal structure of FeBr2Cl. The functional is PBE.

Cell: 3.2214 3.2240 9.4503 Å, 90.00 90.00 90.00°
Each line ends with the local moment (μB).
Element x y z (fractional)
Fe 0.5000 0.5000 0.7500  3.46
Br 0.0000 0.0000 0.9208  0.25
Br 0.0000 0.0000 0.5792  0.25
Cl 0.5000 0.5000 0.2500  0.48

Properties
- DOS(E_F): 2.8 states/eV/f.u.
- Space-group type: No. 123
- Crystal system: tetragonal

=====

This record from Alexandria via LeMat-Bulk describes an optimized crystal structure of FeBr3Cl. The functional is PBE.

Cell: 5.0226 5.0226 5.0226 Å, 90.00 90.00 90.00°
Each line ends with the local moment (μB).
Element x y z (fractional)
Fe 0.0000 0.0000 0.0000  3.21
Br 0.0000 0.5000 0.0000  0.23
Br 0.0000 0.0000 0.5000  0.23
Br 0.5000 0.0000 0.0000  0.23
Cl 0.5000 0.5000 0.5000  0.47

Properties
- DOS(E_F): 6.9 states/eV/f.u.
- Space-group type: No. 221
- Crystal system: cubic

=====

This record from Alexandria via LeMat-Bulk describes an optimized crystal structure of Fe2HgBr6Cl2. The functional is PBE.

Cell: 6.8799 6.8799 9.7332 Å, 90.00 90.00 120.00°
Each line ends with the local moment (μB).
Element x y z (fractional)
Fe 0.3333 0.6667 0.7473  3.66
Fe 0.6667 0.3333 0.2527  3.66
Hg 0.0000 0.0000 0.0000  0.05
Br 0.3346 0.3380 0.8256  0.18
Br 0.0035 0.6654 0.8256  0.18
Br 0.6620 0.9965 0.8256  0.18
Br 0.6654 0.6620 0.1744  0.18
Br 0.9965 0.3346 0.1744  0.18
Br 0.3380 0.0035 0.1744  0.18
Cl 0.3333 0.6667 0.5273  0.28
Cl 0.6667 0.3333 0.4727  0.28

Properties
- Space-group type: No. 147
- Crystal system: trigonal

=====

This record from Alexandria via LeMat-Bulk describes an optimized crystal structure of Fe2HgBrCl. The functional is PBE.

Cell: 4.2718 6.6844 4.2718 Å, 90.00 90.00 90.00°
Each line ends with the local moment (μB).
Element x y z (fractional)
Cl 0.0000 0.0000 0.0000  0.06
Hg 0.5000 0.5000 0.5000  0.06
Br 0.0000 0.5000 0.0000  0.05
Fe 0.0000 0.0000 0.5000  2.22
Fe 0.5000 0.0000 0.0000  3.05

Properties
- DOS(E_F): 2.2 states/eV/f.u.
- Space-group type: No. 123
- Crystal system: tetragonal

=====

This record from Alexandria via LeMat-Bulk describes an optimized crystal structure of FeIBrCl2. The functional is PBE.

Cell: 4.5157 5.7654 4.5157 Å, 90.00 90.00 90.00°
Each line ends with the local moment (μB).
Element x y z (fractional)
I 0.5000 0.5000 0.5000  0.06
Fe 0.0000 0.0000 0.0000  0.00
Br 0.0000 0.5000 0.0000  0.02
Cl 0.0000 0.0000 0.5000  0.00
Cl 0.5000 0.0000 0.0000  0.03

Properties
- DOS(E_F): 8.0 states/eV/f.u.
- Space-group type: No. 123
- Crystal system: tetragonal

=====

This record from Alexandria via LeMat-Bulk describes an optimized crystal structure of K2FeBr2Cl2. The functional is PBE.

Cell: 4.1932 7.2171 7.9090 Å, 62.85 74.62 90.00°
Each line ends with the local moment (μB).
Element x y z (fractional)
K 0.1548 0.6550 0.6903  0.00
K 0.8452 0.3450 0.3097  0.00
Fe 0.0000 0.0000 0.0000  3.47
Br 0.5001 0.2474 0.9997  0.08
Br 0.4999 0.7526 0.0003  0.08
Cl 0.1761 0.1759 0.6477  0.06
Cl 0.8239 0.8241 0.3523  0.06

Properties
- DOS(E_F): 1.2 states/eV/f.u.
- Space-group type: No. 71
- Crystal system: orthorhombic

=====

This record from Alexandria via LeMat-Bulk describes an optimized crystal structure of KFeBrCl2. The functional is PBE.

Cell: 4.8968 4.8968 5.3698 Å, 90.00 90.00 90.00°
Each line ends with the local moment (μB).
Element x y z (fractional)
K 0.5000 0.5000 0.5000  0.00
Fe 0.0000 0.0000 0.0000  3.51
Br 0.0000 0.0000 0.5000  0.08
Cl 0.0000 0.5000 0.0000  0.10
Cl 0.5000 0.0000 0.0000  0.10

Properties
- DOS(E_F): 3.7 states/eV/f.u.
- Space-group type: No. 123
- Crystal system: tetragonal

=====

This record from Alexandria via LeMat-Bulk describes an optimized crystal structure of KFeBr2Cl. The functional is PBE.

Cell: 5.3231 5.3231 4.8228 Å, 90.00 90.00 90.00°
Each line ends with the local moment (μB).
Element x y z (fractional)
K 0.5000 0.5000 0.5000  0.00
Fe 0.0000 0.0000 0.0000  3.50
Br 0.0000 0.5000 0.0000  0.09
Br 0.5000 0.0000 0.0000  0.09
Cl 0.0000 0.0000 0.5000  0.11

Properties
- DOS(E_F): 4.1 states/eV/f.u.
- Space-group type: No. 123
- Crystal system: tetragonal

=====

This record from Alexandria via LeMat-Bulk describes an optimized crystal structure of KFe2Br6Cl2. The functional is PBE.

Cell: 7.2254 7.2254 10.0252 Å, 90.00 90.00 120.00°
Each line ends with the local moment (μB).
Element x y z (fractional)
K 0.0000 0.0000 0.0000  0.01
Fe 0.3333 0.6667 0.7298  3.44
Fe 0.6667 0.3333 0.2702  3.44
Br 0.3906 0.3956 0.8095  0.14
Br 0.0049 0.6094 0.8095  0.14
Br 0.6044 0.9951 0.8095  0.14
Br 0.6094 0.6044 0.1905  0.14
Br 0.9951 0.3906 0.1905  0.14
Br 0.3956 0.0049 0.1905  0.14
Cl 0.3333 0.6667 0.5165  0.20
Cl 0.6667 0.3333 0.4835  0.20

Properties
- DOS(E_F): 13.6 states/eV/f.u.
- Space-group type: No. 147
- Crystal system: trigonal

=====

This record from Alexandria via LeMat-Bulk describes an optimized crystal structure of La6FeBr2Cl3. The functional is PBE.

Cell: 7.5093 7.5093 7.1927 Å, 100.29 100.29 119.22°
Element x y z (fractional)
La 0.9237 0.6308 0.7686
La 0.7764 0.7764 0.2551
La 0.0763 0.3692 0.2314
La 0.6308 0.9237 0.7686
La 0.2236 0.2236 0.7449
La 0.3692 0.0763 0.2314
Fe 0.0000 0.0000 0.0000
Br 0.3347 0.6653 0.0000
Br 0.6653 0.3347 0.0000
Cl 0.1803 0.8197 0.5000
Cl 0.8197 0.1803 0.5000
Cl 0.5000 0.5000 0.5000

Properties
- DOS(E_F): 9.3 states/eV/f.u.
- Space-group type: No. 12
- Crystal system: monoclinic

=====

This record from Alexandria via LeMat-Bulk describes an optimized crystal structure of La6FeBr3Cl2. The functional is PBE.

Cell: 7.2618 7.2618 7.7815 Å, 99.32 99.32 119.50°
Element x y z (fractional)
La 0.9288 0.6235 0.7922
La 0.7567 0.7567 0.2258
La 0.0712 0.3765 0.2078
La 0.6235 0.9288 0.7922
La 0.2433 0.2433 0.7742
La 0.3765 0.0712 0.2078
Fe 0.0000 0.0000 0.0000
Br 0.1765 0.8235 0.5000
Br 0.8235 0.1765 0.5000
Br 0.5000 0.5000 0.5000
Cl 0.3343 0.6657 0.0000
Cl 0.6657 0.3343 0.0000

Properties
- DOS(E_F): 10.0 states/eV/f.u.
- Space-group type: No. 12
- Crystal system: monoclinic

=====

This record from Alexandria via LeMat-Bulk describes an optimized crystal structure of MgFeBrCl2. The functional is PBE.

Cell: 4.7068 5.4640 4.7068 Å, 90.00 90.00 90.00°
Each line ends with the local moment (μB).
Element x y z (fractional)
Mg 0.5000 0.5000 0.5000  -0.09
Fe 0.0000 0.0000 0.0000  3.32
Br 0.0000 0.5000 0.0000  0.04
Cl 0.0000 0.0000 0.5000  0.06
Cl 0.5000 0.0000 0.0000  0.12

Properties
- DOS(E_F): 4.4 states/eV/f.u.
- Space-group type: No. 123
- Crystal system: tetragonal

=====

This record from Alexandria via LeMat-Bulk describes an optimized crystal structure of FeBrNCl2. The functional is PBE.

Cell: 5.0546 3.4825 5.0546 Å, 90.00 90.00 90.00°
Each line ends with the local moment (μB).
Element x y z (fractional)
N 0.0000 0.5000 0.0000  -0.15
Fe 0.0000 0.0000 0.0000  1.68
Br 0.5000 0.5000 0.5000  -0.23
Cl 0.0000 0.0000 0.5000  -0.04
Cl 0.5000 0.0000 0.0000  -0.03

Properties
- DOS(E_F): 5.2 states/eV/f.u.
- Space-group type: No. 123
- Crystal system: tetragonal

=====

This record from Alexandria via LeMat-Bulk describes an optimized crystal structure of FeBrNCl2. The functional is PBE.

Cell: 5.3756 3.5545 5.3756 Å, 90.00 90.00 90.00°
Each line ends with the local moment (μB).
Element x y z (fractional)
N 0.0000 0.0000 0.0000  -0.27
Fe 0.0000 0.5000 0.0000  3.02
Br 0.5000 0.5000 0.5000  0.58
Cl 0.0000 0.0000 0.5000  0.15
Cl 0.5000 0.0000 0.0000  0.18

Properties
- DOS(E_F): 5.3 states/eV/f.u.
- Space-group type: No. 123
- Crystal system: tetragonal

=====

Magnetization in μB per atom, matching the order above: 1.500 0.204 1.287 1.181 0.730 1.501 1.185 0.962 0.909 1.088 0.030 0.571 0.800 0.800 0.818 0.000 0.000 0.668 0.239 0.807
ΔE_f (raw) in eV per atom, matching the order above: -0.030 0.013 -0.614 -0.136 0.847 0.030 0.148 0.064 -0.497 0.619 0.099 -1.260 -1.063 -0.963 -0.701 -1.196 -1.176 -0.469 0.461 0.787
VASP energy in eV/atom, matching the order above: -5.14 -3.40 -4.33 -3.55 -2.22 -5.08 -3.27 -3.00 -3.31 -3.53 -2.98 -3.79 -4.05 -3.91 -3.59 -5.11 -5.07 -3.55 -3.97 -3.64